# 1
# CdPdSO

A relaxed structure of CdPdSO (GGA-PBE, OQMD via LeMat-Bulk).

a = 7.1024 Å, b = 9.3372 Å, c = 7.7522 Å
α = 90.00°, β = 90.00°, γ = 90.00°
Fractional positions:
Cd: 0.2492 0.9518 0.0059
O: 0.7500 0.7882 0.1081
Pd: 0.0002 0.2854 0.2498
Cd: 0.7492 0.9518 0.4941
S: 0.5022 0.0355 0.2492
Pd: 0.5002 0.2146 0.7502
O: 0.2500 0.2118 0.8919
Pd: 0.0002 0.2146 0.7498
O: 0.2500 0.7882 0.3919
S: 0.5022 0.4645 0.7492
Cd: 0.7508 0.4518 0.4941
Pd: 0.4998 0.7146 0.7498
O: 0.7500 0.2882 0.1081
Pd: 0.9998 0.7854 0.2502
S: 0.9978 0.5355 0.2492
Pd: 0.5002 0.2854 0.2502
Cd: 0.2508 0.4518 0.0059
O: 0.2500 0.2882 0.3919
S: 0.4978 0.9645 0.7508
Cd: 0.7508 0.0482 0.9941
Pd: 0.4998 0.7854 0.2498
S: 0.0022 0.0355 0.2508
O: 0.2500 0.7118 0.8919
Cd: 0.2508 0.0482 0.5059
Cd: 0.2492 0.5482 0.5059
O: 0.7500 0.2118 0.6081
O: 0.7500 0.7118 0.6081
Cd: 0.7492 0.5482 0.9941
S: 0.0022 0.4645 0.7508
S: 0.4978 0.5355 0.2508
S: 0.9978 0.9645 0.7492
Pd: 0.9998 0.7146 0.7502

Output
**ΔE to the lowest computed polymorph**: 91 meV per atom
**SG**: Pbca
**Crystal system**: orthorhombic

# 2
# CdPdSO

A relaxed structure of CdPdSO (GGA-PBE, OQMD via LeMat-Bulk).

a = 3.9677 Å, b = 3.9677 Å, c = 8.2712 Å
α = 90.00°, β = 90.00°, γ = 90.00°
Fractional positions:
S: 0.7500 0.7500 0.6935
O: 0.2500 0.2500 0.4891
Pd: 0.7500 0.7500 0.2439
S: 0.2500 0.2500 0.3065
Cd: 0.7500 0.2500 0.0000
Cd: 0.2500 0.7500 0.0000
O: 0.7500 0.7500 0.5109
Pd: 0.2500 0.2500 0.7561

Output
**ΔE to the lowest computed polymorph**: 325 meV per atom
**SG**: P4/nmm
**Crystal system**: tetragonal